*i*
DFT (PBE-GGA) results for a relaxed structure of Tm4TlZn2.

Lattice parameters (Å, degrees): 8.6197 8.6197 8.6197 33.86 33.86 33.86
With the nearest neighbours (Å) after each atom.
Fractional coordinates of all 7 atoms:
Tm: 0.1135 0.1135 0.1135  4 Zn 2.98-3.29, 3 Tl 3.17
Tm: 0.3680 0.3680 0.3680  4 Zn 2.91-3.14, 1 Tl 3.22
Tm: 0.6320 0.6320 0.6320  4 Zn 2.91-3.14, 1 Tl 3.22
Tm: 0.8865 0.8865 0.8865  4 Zn 2.98-3.29, 3 Tl 3.17
Tl: 0.5000 0.5000 0.5000  8 Tm 3.17-3.22, 6 Zn 3.52
Zn: 0.2486 0.2486 0.2486  7 Tm 2.91-3.14
Zn: 0.7514 0.7514 0.7514  7 Tm 2.91-3.14

*ii*
DFT (PBE-GGA) results for a relaxed structure of Tm4TlZn2.

Lattice parameters (Å, degrees): 9.6749 9.6749 9.6749 29.12 29.12 29.12
With the nearest neighbours (Å) after each atom.
Fractional coordinates of all 7 atoms:
Tm: 0.1165 0.1165 0.1165  3 Zn 3.12, 3 Tl 3.13
Tm: 0.2985 0.2985 0.2985  4 Zn 2.85-2.96
Tm: 0.7015 0.7015 0.7015  4 Zn 2.85-2.96
Tm: 0.8835 0.8835 0.8835  3 Zn 3.12, 3 Tl 3.13
Tl: 0.5000 0.5000 0.5000  2 Zn 2.74
Zn: 0.4013 0.4013 0.4013  1 Tl 2.74, 4 Tm 2.85-2.96
Zn: 0.5987 0.5987 0.5987  1 Tl 2.74, 4 Tm 2.85-2.96

Which structure wins on stability? *i* wins.

*i*
DFT (PBE-GGA) results for a relaxed structure of Tm3Tl2Zn.

Lattice parameters (Å, degrees): 3.6176 3.6176 11.4041 90.00 90.00 90.00
With the nearest neighbours (Å) after each atom.
Fractional coordinates of all 6 atoms:
Tm: 0.0000 0.0000 0.0000  8 Tl 3.26, 4 Tm 3.62
Tm: 0.0000 0.0000 0.3535  4 Zn 3.06, 4 Tl 3.25, 1 Tm 3.34
Tm: 0.0000 0.0000 0.6465  4 Zn 3.06, 4 Tl 3.25, 1 Tm 3.34
Tl: 0.5000 0.5000 0.1776  8 Tm 3.25-3.26, 4 Tl 3.62
Tl: 0.5000 0.5000 0.8224  8 Tm 3.25-3.26, 4 Tl 3.62
Zn: 0.5000 0.5000 0.5000  8 Tm 3.06

*ii*
DFT (PBE-GGA) results for a relaxed structure of Tm3Tl2Zn.

Lattice parameters (Å, degrees): 8.2981 8.2981 6.5484 102.94 102.94 44.32
With the nearest neighbours (Å) after each atom.
Fractional coordinates of all 12 atoms:
Tm: 0.1341 0.8659 0.7500  2 Zn 3.06-3.20, 4 Tl 3.10-3.18, 2 Tm 3.36
Tm: 0.2330 0.4394 0.4113  2 Zn 2.96-3.25, 4 Tl 3.09-3.30
Tm: 0.4394 0.2330 0.9113  2 Zn 2.96-3.25, 4 Tl 3.09-3.30
Tm: 0.5606 0.7670 0.0887  2 Zn 2.96-3.25, 4 Tl 3.09-3.30
Tm: 0.7670 0.5606 0.5887  2 Zn 2.96-3.25, 4 Tl 3.09-3.30
Tm: 0.8659 0.1341 0.2500  2 Zn 3.06-3.20, 4 Tl 3.10-3.18, 2 Tm 3.36
Tl: 0.0509 0.2750 0.0498  6 Tm 3.09-3.30, 1 Zn 3.24, 1 Tl 3.38
Tl: 0.2750 0.0509 0.5498  6 Tm 3.09-3.30, 1 Zn 3.24, 1 Tl 3.38
Tl: 0.7250 0.9491 0.4502  6 Tm 3.09-3.30, 1 Zn 3.24, 1 Tl 3.38
Tl: 0.9491 0.7250 0.9502  6 Tm 3.09-3.30, 1 Zn 3.24, 1 Tl 3.38
Zn: 0.3766 0.6234 0.2500  6 Tm 2.96-3.25, 2 Tl 3.24
Zn: 0.6234 0.3766 0.7500  6 Tm 2.96-3.25, 2 Tl 3.24

Which structure wins on stability? *i* wins.

*i*
DFT (PBE-GGA) results for a relaxed structure of TmZrTl.

Lattice parameters (Å, degrees): 4.3516 4.3516 16.4479 90.00 90.00 90.00
With the nearest neighbours (Å) after each atom.
Fractional coordinates of all 12 atoms:
Tm: 0.0000 0.0000 0.1730  5 Tl 3.14
Tm: 0.0000 0.0000 0.8270  5 Tl 3.14
Tm: 0.5000 0.5000 0.3270  5 Tl 3.14
Tm: 0.5000 0.5000 0.6730  5 Tl 3.14
Zr: 0.0000 0.5000 0.0000  4 Zr 3.08, 4 Tl 3.12
Zr: 0.0000 0.5000 0.5000  4 Zr 3.08, 4 Tl 3.12
Zr: 0.5000 0.0000 0.0000  4 Zr 3.08, 4 Tl 3.12
Zr: 0.5000 0.0000 0.5000  4 Zr 3.08, 4 Tl 3.12
Tl: 0.0000 0.0000 0.3637  4 Zr 3.12, 5 Tm 3.14
Tl: 0.0000 0.0000 0.6363  4 Zr 3.12, 5 Tm 3.14
Tl: 0.5000 0.5000 0.1363  4 Zr 3.12, 5 Tm 3.14
Tl: 0.5000 0.5000 0.8637  4 Zr 3.12, 5 Tm 3.14

*ii*
DFT (PBE-GGA) results for a relaxed structure of TmZrTl.

Lattice parameters (Å, degrees): 3.4637 3.4637 12.7400 90.00 90.00 90.00
With the nearest neighbours (Å) after each atom.
Fractional coordinates of all 6 atoms:
Tm: 0.0000 0.0000 0.0000  4 Tl 3.28, 4 Zr 3.28, 4 Tm 3.46
Tm: 0.5000 0.5000 0.5000  4 Tl 3.28, 4 Zr 3.28, 4 Tm 3.46
Zr: 0.0000 0.0000 0.6717  4 Tl 3.17, 4 Tm 3.28, 4 Zr 3.46
Zr: 0.5000 0.5000 0.1717  4 Tl 3.17, 4 Tm 3.28, 4 Zr 3.46
Tl: 0.0000 0.0000 0.3292  4 Zr 3.17, 4 Tm 3.28, 4 Tl 3.46
Tl: 0.5000 0.5000 0.8292  4 Zr 3.17, 4 Tm 3.28, 4 Tl 3.46

*iii*
DFT (PBE-GGA) results for a relaxed structure of TmZrTl.

Lattice parameters (Å, degrees): 5.2175 5.2175 3.1404 90.00 90.00 120.00
With the nearest neighbours (Å) after each atom.
Fractional coordinates of all 3 atoms:
Tm: 0.0000 0.0000 0.0000  3 Zr 3.01, 2 Tm 3.14
Zr: 0.3333 0.6667 0.0000  3 Tm 3.01, 2 Zr 3.14
Tl: 0.6667 0.3333 0.5000  2 Tl 3.14, 6 Tm 3.40, 6 Zr 3.40

Which structure wins on stability? *i* wins.